Entry from Alexandria via LeMat-Bulk: an optimized crystal structure of V3ZnCo (PBE).

Calculated values
Crystal system: cubic
DFT total energy in eV/atom: -5.58
ΔH_f (0 K) in eV/atom: 1.569

Structure (CIF):
```
data_V3ZnCo
_cell_length_a 4.418
_cell_length_b 4.418
_cell_length_c 4.418
_cell_angle_alpha 90.00
_cell_angle_beta 90.00
_cell_angle_gamma 90.00
_space_group_name_H-M_alt 'P m -3 m'
_space_group_IT_number 221
_space_group_name_Hall '-P 4 2 3'
loop_
_atom_site_label
_atom_site_type_symbol
_atom_site_fract_x
_atom_site_fract_y
_atom_site_fract_z
V1 V 0.000 0.000 0.500
Zn1 Zn 0.000 0.000 0.000
Co1 Co 0.500 0.500 0.500
```